No. 1
A plane-wave DFT calculation with PBE-GGA was carried out for an optimized crystal structure of TiFeSb.

Cell: 5.1627 5.1627 5.1627 Å, 142.92 142.92 53.45°
Element x y z (fractional)
Ti  0.0000  0.0000  0.0000
Fe  0.3619  0.3619  0.0000
Sb  0.6917  0.6917  0.0000

## Properties
* N(E_F): 2.64 states/eV/cell
* E: -6.88 eV/atom

***

No. 2
A plane-wave DFT calculation with PBE-GGA was carried out for an optimized crystal structure of TiFe2Sb.

Cell: 4.1540 4.1540 3.2425 Å, 90.00 90.00 90.00°
Element x y z (fractional)
Ti  0.0000  0.0000  0.0000
Fe  0.0000  0.5000  0.5000
Fe  0.5000  0.0000  0.5000
Sb  0.5000  0.5000  0.0000

## Properties
* N(E_F): 2.78 states/eV/cell
* E: -7.38 eV/atom

***

No. 3
A plane-wave DFT calculation with PBE-GGA was carried out for an optimized crystal structure of Ti5FeSb2.

Cell: 7.8205 7.8205 7.8205 Å, 96.22 96.22 141.55°
Element x y z (fractional)
Ti  0.0688  0.8013  0.8701
Ti  0.1987  0.0688  0.2675
Ti  0.2500  0.7500  0.5000
Ti  0.3013  0.5688  0.8701
Ti  0.4312  0.3013  0.7325
Ti  0.5688  0.6987  0.2675
Ti  0.6987  0.4312  0.1299
Ti  0.7500  0.2500  0.5000
Ti  0.8013  0.9312  0.7325
Ti  0.9312  0.1987  0.1299
Fe  0.2500  0.2500  0.0000
Fe  0.7500  0.7500  0.0000
Sb  0.1642  0.3358  0.5000
Sb  0.3358  0.8358  0.1716
Sb  0.6642  0.1642  0.8284
Sb  0.8358  0.6642  0.5000

## Properties
* N(E_F): 20.73 states/eV/cell
* E: -7.45 eV/atom

***

No. 4
A plane-wave DFT calculation with PBE-GGA was carried out for an optimized crystal structure of Ti2FeSb.

Cell: 5.7219 5.7219 5.7219 Å, 103.26 103.26 122.76°
Element x y z (fractional)
Ti  0.0608  0.6250  0.9358
Ti  0.3750  0.3108  0.4358
Ti  0.6892  0.1250  0.0642
Ti  0.8750  0.9392  0.5642
Fe  0.0000  0.0000  0.0000
Fe  0.7500  0.2500  0.5000
Sb  0.2500  0.7500  0.5000
Sb  0.5000  0.5000  0.0000

## Properties
* N(E_F): 7.66 states/eV/cell
* E: -7.09 eV/atom

***

No. 5
A plane-wave DFT calculation with PBE-GGA was carried out for an optimized crystal structure of Ti10FeSb5.

Cell: 7.8691 7.8691 7.8691 Å, 96.35 96.35 141.16°
Element x y z (fractional)
Ti  0.0000  0.5000  0.5000
Ti  0.0445  0.1868  0.7080
Ti  0.1868  0.4788  0.1423
Ti  0.3365  0.0445  0.8577
Ti  0.4788  0.3365  0.2920
Ti  0.5000  0.0000  0.5000
Ti  0.5212  0.8132  0.8577
Ti  0.6635  0.5212  0.7080
Ti  0.8132  0.9555  0.2920
Ti  0.9555  0.6635  0.1423
Fe  0.5000  0.5000  0.0000
Sb  0.0000  0.0000  0.0000
Sb  0.0863  0.9137  0.5000
Sb  0.4137  0.5863  0.5000
Sb  0.5863  0.0863  0.1727
Sb  0.9137  0.4137  0.8273

## Properties
* N(E_F): 14.56 states/eV/cell
* E: -7.23 eV/atom

***

No. 6
A plane-wave DFT calculation with PBE-GGA was carried out for an optimized crystal structure of Ti3FeSb.

Cell: 4.5029 4.5029 4.5029 Å, 90.00 90.00 90.00°
Element x y z (fractional)
Ti  0.0000  0.0000  0.5000
Ti  0.0000  0.5000  0.0000
Ti  0.5000  0.0000  0.0000
Fe  0.0000  0.0000  0.0000
Sb  0.5000  0.5000  0.5000

## Properties
* N(E_F): 3.85 states/eV/cell
* E: -7.30 eV/atom

***

Please write out number 4 again, unchanged.
A plane-wave DFT calculation with PBE-GGA was carried out for an optimized crystal structure of Ti2FeSb.

Cell: 5.7219 5.7219 5.7219 Å, 103.26 103.26 122.76°
Element x y z (fractional)
Ti  0.0608  0.6250  0.9358
Ti  0.3750  0.3108  0.4358
Ti  0.6892  0.1250  0.0642
Ti  0.8750  0.9392  0.5642
Fe  0.0000  0.0000  0.0000
Fe  0.7500  0.2500  0.5000
Sb  0.2500  0.7500  0.5000
Sb  0.5000  0.5000  0.0000

## Properties
* N(E_F): 7.66 states/eV/cell
* E: -7.09 eV/atom